Computed, not measured: MgZn3Cr after structural relaxation at the PBE-GGA level of DFT.

CIF file:
```
data_MgZn3Cr
_cell_length_a 4.860
_cell_length_b 4.860
_cell_length_c 4.860
_cell_angle_alpha 90.00
_cell_angle_beta 90.00
_cell_angle_gamma 90.00
_space_group_name_H-M_alt 'P 1'
_space_group_IT_number 1
loop_
_space_group_symop_operation_xyz
'x,y,z'
loop_
_atom_site_label
_atom_site_fract_x
_atom_site_fract_y
_atom_site_fract_z
Mg1 0.000 0.000 0.000
Zn1 0.000 0.500 0.500
Zn2 0.500 0.000 0.500
Zn3 0.500 0.500 0.000
Cr1 0.500 0.500 0.500
```

Polymorph energy (0 for the lowest one) in meV/atom: 0.0
Uncorrected energy in eV per formula unit: -11.8
Symmetry: No. 221
ΔH_f (0 K) in meV/atom: 647.6

***

Computed, not measured: MgZn2Cr after structural relaxation at the PBE-GGA level of DFT.

CIF file:
```
data_MgZn2Cr
_cell_length_a 2.661
_cell_length_b 2.661
_cell_length_c 8.486
_cell_angle_alpha 90.00
_cell_angle_beta 90.00
_cell_angle_gamma 99.50
_space_group_name_H-M_alt 'P 1'
_space_group_IT_number 1
loop_
_space_group_symop_operation_xyz
'x,y,z'
loop_
_atom_site_label
_atom_site_fract_x
_atom_site_fract_y
_atom_site_fract_z
Mg1 0.000 0.000 0.000
Zn1 0.000 0.000 0.519
Zn2 0.500 0.500 0.271
Cr1 0.500 0.500 0.748
```

Uncorrected energy in eV per formula unit: -12.8
Symmetry: No. 35
ΔH_f (0 K) in meV/atom: 237.4

***

Computed, not measured: MgZnCr2 after structural relaxation at the PBE-GGA level of DFT.

CIF file:
```
data_MgZnCr2
_cell_length_a 4.499
_cell_length_b 4.499
_cell_length_c 5.051
_cell_angle_alpha 93.21
_cell_angle_beta 93.21
_cell_angle_gamma 32.78
_space_group_name_H-M_alt 'P 1'
_space_group_IT_number 1
loop_
_space_group_symop_operation_xyz
'x,y,z'
loop_
_atom_site_label
_atom_site_fract_x
_atom_site_fract_y
_atom_site_fract_z
Mg1 0.000 0.000 0.000
Zn1 0.250 0.250 0.757
Cr1 0.513 0.513 0.484
Cr2 0.753 0.753 0.292
```

Uncorrected energy in eV per formula unit: -20.6
Symmetry: No. 8
ΔH_f (0 K) in meV/atom: 380.9

***

Computed, not measured: MgZnCr2 after structural relaxation at the PBE-GGA level of DFT.

CIF file:
```
data_MgZnCr2
_cell_length_a 2.679
_cell_length_b 2.679
_cell_length_c 8.640
_cell_angle_alpha 90.00
_cell_angle_beta 90.00
_cell_angle_gamma 112.61
_space_group_name_H-M_alt 'P 1'
_space_group_IT_number 1
loop_
_space_group_symop_operation_xyz
'x,y,z'
loop_
_atom_site_label
_atom_site_fract_x
_atom_site_fract_y
_atom_site_fract_z
Mg1 0.000 0.000 0.000
Zn1 0.500 0.500 0.717
Cr1 0.000 0.000 0.466
Cr2 0.500 0.500 0.270
```

Uncorrected energy in eV per formula unit: -21.2
Symmetry: No. 35
ΔH_f (0 K) in meV/atom: 239.0

***

Computed, not measured: MgZn2Cr after structural relaxation at the PBE-GGA level of DFT.

CIF file:
```
data_MgZn2Cr
_cell_length_a 9.217
_cell_length_b 9.217
_cell_length_c 9.217
_cell_angle_alpha 17.34
_cell_angle_beta 17.34
_cell_angle_gamma 17.34
_space_group_name_H-M_alt 'P 1'
_space_group_IT_number 1
loop_
_space_group_symop_operation_xyz
'x,y,z'
loop_
_atom_site_label
_atom_site_fract_x
_atom_site_fract_y
_atom_site_fract_z
Mg1 0.000 0.000 0.000
Zn1 0.243 0.243 0.243
Zn2 0.757 0.757 0.757
Cr1 0.500 0.500 0.500
```

Uncorrected energy in eV per formula unit: -12.7
Symmetry: No. 166
ΔH_f (0 K) in meV/atom: 273.7

***

Computed, not measured: MgZnCr2 after structural relaxation at the PBE-GGA level of DFT.

CIF file:
```
data_MgZnCr2
_cell_length_a 5.910
_cell_length_b 5.910
_cell_length_c 5.910
_cell_angle_alpha 103.11
_cell_angle_beta 103.11
_cell_angle_gamma 123.11
_space_group_name_H-M_alt 'P 1'
_space_group_IT_number 1
loop_
_space_group_symop_operation_xyz
'x,y,z'
loop_
_atom_site_label
_atom_site_fract_x
_atom_site_fract_y
_atom_site_fract_z
Mg1 0.000 0.000 0.000
Mg2 0.750 0.250 0.500
Zn1 0.250 0.750 0.500
Zn2 0.500 0.500 0.000
Cr1 0.158 0.125 0.533
Cr2 0.375 0.842 0.967
Cr3 0.592 0.625 0.467
Cr4 0.875 0.408 0.033
```

Uncorrected energy in eV per formula unit: -18.8
Symmetry: No. 122
ΔH_f (0 K) in meV/atom: 822.1

***

Computed, not measured: Mg2ZnCr after structural relaxation at the PBE-GGA level of DFT.

CIF file:
```
data_Mg2ZnCr
_cell_length_a 3.361
_cell_length_b 3.361
_cell_length_c 6.422
_cell_angle_alpha 90.00
_cell_angle_beta 90.00
_cell_angle_gamma 90.00
_space_group_name_H-M_alt 'P 1'
_space_group_IT_number 1
loop_
_space_group_symop_operation_xyz
'x,y,z'
loop_
_atom_site_label
_atom_site_fract_x
_atom_site_fract_y
_atom_site_fract_z
Mg1 0.000 0.000 0.248
Mg2 0.000 0.000 0.752
Zn1 0.500 0.500 0.000
Cr1 0.500 0.500 0.500
```

Uncorrected energy in eV per formula unit: -13.2
Symmetry: No. 123
ΔH_f (0 K) in meV/atom: 225.5

***

Computed, not measured: Mg2ZnCr after structural relaxation at the PBE-GGA level of DFT.

CIF file:
```
data_Mg2ZnCr
_cell_length_a 2.771
_cell_length_b 2.771
_cell_length_c 8.648
_cell_angle_alpha 90.00
_cell_angle_beta 90.00
_cell_angle_gamma 90.00
_space_group_name_H-M_alt 'P 1'
_space_group_IT_number 1
loop_
_space_group_symop_operation_xyz
'x,y,z'
loop_
_atom_site_label
_atom_site_fract_x
_atom_site_fract_y
_atom_site_fract_z
Mg1 0.000 0.000 0.000
Mg2 0.500 0.500 0.303
Zn1 0.000 0.000 0.554
Cr1 0.500 0.500 0.763
```

Uncorrected energy in eV per formula unit: -12.8
Symmetry: No. 99
ΔH_f (0 K) in meV/atom: 312.0

***

Computed, not measured: MgZn2Cr after structural relaxation at the PBE-GGA level of DFT.

CIF file:
```
data_MgZn2Cr
_cell_length_a 4.472
_cell_length_b 4.472
_cell_length_c 4.472
_cell_angle_alpha 60.00
_cell_angle_beta 60.00
_cell_angle_gamma 60.00
_space_group_name_H-M_alt 'P 1'
_space_group_IT_number 1
loop_
_space_group_symop_operation_xyz
'x,y,z'
loop_
_atom_site_label
_atom_site_fract_x
_atom_site_fract_y
_atom_site_fract_z
Mg1 0.000 0.000 0.000
Zn1 0.500 0.500 0.500
Zn2 0.750 0.750 0.750
Cr1 0.250 0.250 0.250
```

Uncorrected energy in eV per formula unit: -13.1
Symmetry: No. 216
ΔH_f (0 K) in meV/atom: 163.6

***

Computed, not measured: Mg2ZnCr after structural relaxation at the PBE-GGA level of DFT.

CIF file:
```
data_Mg2ZnCr
_cell_length_a 3.026
_cell_length_b 4.518
_cell_length_c 5.671
_cell_angle_alpha 90.00
_cell_angle_beta 104.80
_cell_angle_gamma 90.00
_space_group_name_H-M_alt 'P 1'
_space_group_IT_number 1
loop_
_space_group_symop_operation_xyz
'x,y,z'
loop_
_atom_site_label
_atom_site_fract_x
_atom_site_fract_y
_atom_site_fract_z
Mg1 0.000 0.000 0.000
Mg2 0.333 0.500 0.679
Zn1 0.603 0.500 0.214
Cr1 0.727 0.000 0.466
```

Uncorrected energy in eV per formula unit: -13.2
Symmetry: No. 6
ΔH_f (0 K) in meV/atom: 229.0

***

Computed, not measured: MgZn2Cr after structural relaxation at the PBE-GGA level of DFT.

CIF file:
```
data_MgZn2Cr
_cell_length_a 2.661
_cell_length_b 2.661
_cell_length_c 8.404
_cell_angle_alpha 90.00
_cell_angle_beta 90.00
_cell_angle_gamma 90.00
_space_group_name_H-M_alt 'P 1'
_space_group_IT_number 1
loop_
_space_group_symop_operation_xyz
'x,y,z'
loop_
_atom_site_label
_atom_site_fract_x
_atom_site_fract_y
_atom_site_fract_z
Mg1 0.000 0.000 0.000
Zn1 0.000 0.000 0.520
Zn2 0.500 0.500 0.272
Cr1 0.500 0.500 0.747
```

Uncorrected energy in eV per formula unit: -12.8
Symmetry: No. 99
ΔH_f (0 K) in meV/atom: 241.8

***

Computed, not measured: MgZnCr2 after structural relaxation at the PBE-GGA level of DFT.

CIF file:
```
data_MgZnCr2
_cell_length_a 2.523
_cell_length_b 4.305
_cell_length_c 5.032
_cell_angle_alpha 90.00
_cell_angle_beta 90.00
_cell_angle_gamma 90.00
_space_group_name_H-M_alt 'P 1'
_space_group_IT_number 1
loop_
_space_group_symop_operation_xyz
'x,y,z'
loop_
_atom_site_label
_atom_site_fract_x
_atom_site_fract_y
_atom_site_fract_z
Mg1 0.000 0.000 0.000
Zn1 0.000 0.000 0.500
Cr1 0.500 0.500 0.244
Cr2 0.500 0.500 0.756
```

Uncorrected energy in eV per formula unit: -20.4
Symmetry: No. 47
ΔH_f (0 K) in meV/atom: 433.1

***

Computed, not measured: MgZn2Cr after structural relaxation at the PBE-GGA level of DFT.

CIF file:
```
data_MgZn2Cr
_cell_length_a 4.780
_cell_length_b 4.780
_cell_length_c 5.013
_cell_angle_alpha 101.41
_cell_angle_beta 101.41
_cell_angle_gamma 36.58
_space_group_name_H-M_alt 'P 1'
_space_group_IT_number 1
loop_
_space_group_symop_operation_xyz
'x,y,z'
loop_
_atom_site_label
_atom_site_fract_x
_atom_site_fract_y
_atom_site_fract_z
Mg1 0.000 0.000 0.000
Zn1 0.243 0.243 0.727
Zn2 0.757 0.757 0.273
Cr1 0.500 0.500 0.500
```

Uncorrected energy in eV per formula unit: -13.0
Symmetry: No. 12
ΔH_f (0 K) in meV/atom: 189.4

***

Computed, not measured: MgZnCr2 after structural relaxation at the PBE-GGA level of DFT.

CIF file:
```
data_MgZnCr2
_cell_length_a 9.238
_cell_length_b 9.238
_cell_length_c 9.238
_cell_angle_alpha 16.62
_cell_angle_beta 16.62
_cell_angle_gamma 16.62
_space_group_name_H-M_alt 'P 1'
_space_group_IT_number 1
loop_
_space_group_symop_operation_xyz
'x,y,z'
loop_
_atom_site_label
_atom_site_fract_x
_atom_site_fract_y
_atom_site_fract_z
Mg1 0.000 0.000 0.000
Zn1 0.500 0.500 0.500
Cr1 0.247 0.247 0.247
Cr2 0.753 0.753 0.753
```

Uncorrected energy in eV per formula unit: -20.0
Symmetry: No. 166
ΔH_f (0 K) in meV/atom: 538.1

***

Computed, not measured: MgZn2Cr after structural relaxation at the PBE-GGA level of DFT.

CIF file:
```
data_MgZn2Cr
_cell_length_a 5.170
_cell_length_b 5.170
_cell_length_c 5.170
_cell_angle_alpha 141.63
_cell_angle_beta 130.35
_cell_angle_gamma 64.44
_space_group_name_H-M_alt 'P 1'
_space_group_IT_number 1
loop_
_space_group_symop_operation_xyz
'x,y,z'
loop_
_atom_site_label
_atom_site_fract_x
_atom_site_fract_y
_atom_site_fract_z
Mg1 0.000 0.000 0.000
Zn1 0.260 0.760 0.500
Zn2 0.489 0.489 0.000
Cr1 0.733 0.233 0.500
```

Uncorrected energy in eV per formula unit: -13.2
Symmetry: No. 44
ΔH_f (0 K) in meV/atom: 148.6